[1]
Density functional theory data (PBE) for a relaxed BaScTa2 crystal.

Cell lengths 5.460, 5.460, 3.136 Å; angles 90.00, 90.00, 90.00 degrees
Fractional positions:
Ta  0.500  0.500  0.000
Sc  0.000  0.500  0.500
Ta  0.000  0.000  0.000
Ba  0.500  0.000  0.500

Formation energy   1.168 eV/atom
Symmetry   P4/mmm (123)
Offset from the most stable computed form   285 kJ/mol of formula units
Energy   -27.29 eV for the cell shown

[2]
Density functional theory data (PBE) for a relaxed CaCuClO2 crystal.

Cell lengths 4.131, 8.315, 4.131 Å; angles 90.00, 90.00, 90.00 degrees
Fractional positions:
O  0.500  0.000  0.000
Cu  0.000  0.500  0.000
O  0.000  0.000  0.500
Ca  0.000  0.000  0.000
Cl  0.500  0.500  0.500

Symmetry   P4/mmm (123)
Uncorrected formation energy   -185.8 meV/atom
Offset from the most stable computed form   557 kJ/mol of formula units
Energy   -18.79 eV for the cell shown

[3]
Density functional theory data (PBE) for a relaxed Sc2ReRh crystal.

Cell lengths 4.574, 4.574, 4.574 Å; angles 60.00, 60.00, 60.00 degrees
Fractional positions:
Re  0.500  0.500  0.500
Sc  0.000  0.000  0.000
Sc  0.750  0.750  0.750
Rh  0.250  0.250  0.250

Formation energy   -0.074 eV/atom
Symmetry   F-43m (216)
Energy   -32.76 eV for the cell shown

[4]
Density functional theory data (PBE) for a relaxed BeGaSn2Mo crystal.

Cell lengths 5.219, 4.572, 5.219 Å; angles 90.00, 90.00, 90.00 degrees
Fractional positions:
Mo  0.000  0.000  0.000
Sn  0.000  0.000  0.500
Be  0.000  0.500  0.000
Ga  0.500  0.500  0.500
Sn  0.500  0.000  0.000

Formation energy   0.601 eV/atom
Symmetry   P4/mmm (123)
Energy   -22.59 eV for the cell shown

[5]
Density functional theory data (PBE) for a relaxed RbH2S crystal.

Cell lengths 6.553, 6.553, 6.553 Å; angles 74.63, 74.63, 74.63 degrees
Fractional positions:
H  0.809  0.500  0.191
Rb  0.000  0.000  0.000
H  0.809  0.191  0.500
H  0.191  0.809  0.500
H  0.500  0.191  0.809
Rb  0.665  0.665  0.665
S  0.000  0.500  0.000
H  0.191  0.500  0.809
H  0.500  0.809  0.191
S  0.000  0.000  0.500
Rb  0.335  0.335  0.335
S  0.500  0.000  0.000

Symmetry   R-3m (166)
Offset from the most stable computed form   0 kJ/mol of formula units
Energy   -35.39 eV for the cell shown

[6]
Density functional theory data (PBE) for a relaxed CaRe3Te crystal.

Cell lengths 4.903, 4.903, 4.903 Å; angles 90.00, 90.00, 90.00 degrees
Fractional positions:
Te  0.000  0.000  0.000
Ca  0.500  0.500  0.500
Re  0.000  0.000  0.500
Re  0.000  0.500  0.000
Re  0.500  0.000  0.000

Symmetry   Pm-3m (221)
Uncorrected formation energy   1919.3 meV/atom
Offset from the most stable computed form   0 kJ/mol of formula units
Energy   -32.89 eV for the cell shown

[7]
Density functional theory data (PBE) for a relaxed TmGaSn crystal.

Cell lengths 4.177, 4.382, 7.984 Å; angles 105.93, 90.00, 90.00 degrees
Fractional positions:
Ga  0.250  0.447  0.893
Sn  0.750  0.256  0.513
Tm  0.750  0.910  0.821
Tm  0.250  0.090  0.179
Sn  0.250  0.744  0.487
Ga  0.750  0.553  0.107

Formation energy   -0.475 eV/atom
Symmetry   Cmcm (63)
Energy   -25.86 eV for the cell shown

[8]
Density functional theory data (PBE) for a relaxed Ac2PmDyO6 crystal.

Cell lengths 6.089, 6.283, 8.797 Å; angles 90.00, 90.15, 90.00 degrees
Fractional positions:
Ac  0.984  0.048  0.749
O  0.300  0.693  0.066
O  0.700  0.307  0.934
O  0.625  0.058  0.255
Ac  0.016  0.952  0.251
O  0.191  0.201  0.069
Ac  0.484  0.452  0.249
Pm  0.000  0.500  0.500
O  0.375  0.942  0.745
O  0.125  0.442  0.755
O  0.875  0.558  0.245
O  0.800  0.807  0.566
O  0.309  0.701  0.431
Pm  0.500  0.000  0.000
O  0.200  0.193  0.434
Dy  0.500  0.000  0.500
O  0.809  0.799  0.931
Dy  0.000  0.500  0.000
O  0.691  0.299  0.569
Ac  0.516  0.548  0.751

Symmetry   P2_1/c (14)
Uncorrected formation energy   -3389.8 meV/atom
Energy   -162.43 eV for the cell shown

[9]
Density functional theory data (PBE) for a relaxed SbRuPb crystal.

Cell lengths 3.512, 3.512, 6.427 Å; angles 90.00, 90.00, 120.00 degrees
Fractional positions:
Pb  0.000  0.000  0.036
Ru  0.667  0.333  0.352
Sb  0.333  0.667  0.613

Symmetry   P3m1 (156)
Uncorrected formation energy   155.4 meV/atom
Offset from the most stable computed form   40 kJ/mol of formula units
Energy   -16.64 eV for the cell shown

[10]
Density functional theory data (PBE) for a relaxed CoRuSe2Br crystal.

Cell lengths 4.786, 4.786, 5.230 Å; angles 90.00, 90.00, 90.00 degrees
Fractional positions:
Ru  0.000  0.000  0.000
Br  0.000  0.000  0.500
Se  0.500  0.000  0.000
Co  0.500  0.500  0.500
Se  0.000  0.500  0.000

Symmetry   P4/mmm (123)
Uncorrected formation energy   834.9 meV/atom
Offset from the most stable computed form   0 kJ/mol of formula units
Energy   -20.85 eV for the cell shown

[11]
Density functional theory data (PBE) for a relaxed LiBe2Hg2 crystal.

Cell lengths 3.422, 3.422, 7.072 Å; angles 76.00, 76.00, 90.00 degrees
Fractional positions:
Hg  0.389  0.389  0.221
Li  0.000  0.000  0.000
Hg  0.611  0.611  0.779
Be  0.250  0.750  0.500
Be  0.750  0.250  0.500

Formation energy   0.168 eV/atom
Symmetry   I4/mmm (139)
Energy   -9.13 eV for the cell shown

[12]
Density functional theory data (PBE) for a relaxed Ba2ReRhO6 crystal.

Cell lengths 5.901, 5.901, 10.199 Å; angles 73.18, 73.18, 60.00 degrees
Fractional positions:
O  0.807  0.269  0.117
Re  0.000  0.000  0.000
O  0.616  0.145  0.624
Re  0.500  0.500  0.500
O  0.855  0.384  0.376
O  0.193  0.731  0.883
O  0.616  0.616  0.624
Rh  0.408  0.408  0.775
Ba  0.717  0.717  0.848
Ba  0.283  0.283  0.152
O  0.145  0.616  0.624
Ba  0.872  0.872  0.383
O  0.193  0.193  0.883
O  0.269  0.807  0.117
O  0.384  0.384  0.376
Rh  0.592  0.592  0.225
Ba  0.128  0.128  0.617
O  0.807  0.807  0.117
O  0.384  0.855  0.376
O  0.731  0.193  0.883

Symmetry   R-3m (166)
Uncorrected formation energy   -1859.7 meV/atom
Energy   -143.98 eV for the cell shown